Material: MgZnFe
Method: DFT, PBE
State: relaxed

Cell: 5.983 5.983 5.983 Å, 152.56 152.54 39.21°
Site moments in Bohr magnetons follow the coordinates.
Sites, in units of the cell vectors:
Fe: 0.008 0.008 0.000  2.52
Mg: 0.339 0.339 0.000  -0.02
Zn: 0.653 0.653 0.000  -0.02

Summary:
The calculation puts the total magnetic moment at 2.5 μB/f.u. The space group is I4mm. The value obtained for the calculated formation energy is 9.55 kJ per mole of atoms.